The following is a DFT calculation (GGA-PBE) of a geometry-optimized SnBiMo structure.

Lattice parameters (Å, degrees): 3.296 5.401 9.207 77.24 79.82 72.32
Space group P-1 (No. 2)
Unique sites:
Sn 0.001 0.155 0.338 x2
Bi 0.163 0.275 0.901 x2
Mo 0.256 0.587 0.399 x2

Values from the calculation:
DFT total energy = -6.04 eV per atom
relative energy among the computed polymorphs = 0.000 eV per atom
ΔH_f (0 K) = 18.81 kJ/mol of atoms

---

The following is a DFT calculation (GGA-PBE) of a geometry-optimized PmDy4Ho3 structure.

Lattice parameters (Å, degrees): 11.263 7.261 6.274 90.00 90.00 90.00
Space group Pmn2_1 (No. 31)
Unique sites:
Pm 0.000 0.125 0.000 x2
Dy 0.000 0.375 0.501 x2
Dy 0.000 0.625 0.999 x2
Dy 0.248 0.624 0.333 x4
Ho 0.000 0.875 0.500 x2
Ho 0.250 0.126 0.333 x4

Values from the calculation:
DFT total energy = -4.60 eV per atom
relative energy among the computed polymorphs = 0.000 eV per atom
ΔH_f (0 K) = 0.88 kJ/mol of atoms